Record 1
# Nd6Sm3Sc

Nd6Sm3Sc after structural relaxation (PBE-GGA, the Alexandria database).

Values from the calculation:
- crystal system = orthorhombic
- D(E_F) (states/eV per cell) = 52.7
- energy relative to the elements (kJ/mol of atoms) = 13.27
- total magnetization (μB per cell) = 0.00
- DFT total energy (eV/atom) = -4.772

Lattice parameters (Å, degrees): 11.024 19.304 6.405 90.00 90.00 90.00
Space group Cmc2_1 (No. 36)
Inequivalent atoms, fractional coordinates:
Nd  0.000  0.041  0.000
Nd  0.000  0.277  0.243
Nd  0.167  0.458  0.336
Nd  0.237  0.291  0.524
Sm  0.000  0.383  0.814
Sm  0.168  0.115  0.434
Sc  0.000  0.198  0.771

=====

Record 2
# Th4Sc5Hg

Th4Sc5Hg after structural relaxation (PBE-GGA, the Alexandria database).

Values from the calculation:
- crystal system = tetragonal
- D(E_F) (states/eV per cell) = 10.0
- energy relative to the elements (kJ/mol of atoms) = -7.60
- total magnetization (μB per cell) = 0.00
- DFT total energy (eV/atom) = -6.243

Lattice parameters (Å, degrees): 3.483 3.483 22.224 90.00 90.00 90.00
Space group P4/mmm (No. 123)
Inequivalent atoms, fractional coordinates:
Th  0.000  0.000  0.105
Th  0.000  0.000  0.315
Sc  0.500  0.500  0.000
Sc  0.500  0.500  0.210
Sc  0.500  0.500  0.417
Hg  0.000  0.000  0.500

=====

Record 3
# Tb2PrBi

Tb2PrBi after structural relaxation (PBE-GGA, the Alexandria database).

Values from the calculation:
- crystal system = trigonal
- D(E_F) (states/eV per cell) = 14.3
- energy relative to the elements (kJ/mol of atoms) = -18.93
- total magnetization (μB per cell) = 0.24
- relative energy among the computed polymorphs (meV/atom) = 216
- DFT total energy (eV/atom) = -4.676

Lattice parameters (Å, degrees): 4.0816 4.0816 29.0960 90.00 90.00 120.00
Space group R3m (No. 160, hexagonal axes)
Inequivalent atoms, fractional coordinates:
Tb  0.0000  0.0000  0.0000
Tb  0.0000  0.0000  0.1950
Pr  0.0000  0.0000  0.7637
Bi  0.0000  0.0000  0.5978

=====

Record 4
# LaPr2Bi

LaPr2Bi after structural relaxation (PBE-GGA, the Alexandria database).

Values from the calculation:
- crystal system = trigonal
- D(E_F) (states/eV per cell) = 11.0
- energy relative to the elements (kJ/mol of atoms) = -23.67
- total magnetization (μB per cell) = 0.47
- relative energy among the computed polymorphs (meV/atom) = 227
- DFT total energy (eV/atom) = -4.837

Lattice parameters (Å, degrees): 4.2197 4.2197 29.7464 90.00 90.00 120.00
Space group R3m (No. 160, hexagonal axes)
Inequivalent atoms, fractional coordinates:
La  0.0000  0.0000  0.0000
Pr  0.0000  0.0000  0.5694
Pr  0.0000  0.0000  0.7640
Bi  0.0000  0.0000  0.1667

=====

Record 5
# Ac4C2Cl5

Ac4C2Cl5 after structural relaxation (PBE-GGA, the Alexandria database).

Values from the calculation:
- crystal system = orthorhombic
- D(E_F) (states/eV per cell) = 5.0
- total magnetization (μB per cell) = 0.00
- E_form (uncorrected) (eV/f.u.) = -17.36
- DFT total energy (eV/atom) = -5.589

Lattice parameters (Å, degrees): 4.095 8.305 18.028 90.00 90.00 90.00
Space group Immm (No. 71)
Inequivalent atoms, fractional coordinates:
Ac  0.000  0.000  0.174
Ac  0.000  0.286  0.500
C  0.000  0.000  0.040
Cl  0.000  0.227  0.331
Cl  0.000  0.500  0.000

=====

Record 6
# Cr2Cu

Cr2Cu after structural relaxation (PBE-GGA, the Alexandria database).

Values from the calculation:
- crystal system = orthorhombic
- D(E_F) (states/eV per cell) = 5.7
- energy relative to the elements (kJ/mol of atoms) = 28.82
- total magnetization (μB per cell) = 0.00
- DFT total energy (eV/atom) = -7.482

Lattice parameters (Å, degrees): 2.335 3.962 7.626 90.00 90.00 90.00
Space group Immm (No. 71)
Inequivalent atoms, fractional coordinates:
Cr  0.000  0.000  0.165
Cu  0.000  0.000  0.500

=====

Record 7
# Ho6CuTe3Se2

Ho6CuTe3Se2 after structural relaxation (PBE-GGA, the Alexandria database).

Values from the calculation:
- crystal system = monoclinic
- D(E_F) (states/eV per cell) = 9.3
- total magnetization (μB per cell) = 0.00
- E_form (uncorrected) (eV/f.u.) = -15.43
- DFT total energy (eV/atom) = -5.282

Lattice parameters (Å, degrees): 7.252 12.526 7.386 90.00 108.99 90.00
Space group C2/m (No. 12)
Inequivalent atoms, fractional coordinates:
Ho  0.230  0.158  0.217
Ho  0.240  0.000  0.777
Cu  0.000  0.000  0.000
Te  0.000  0.175  0.500
Te  0.000  0.500  0.500
Se  0.000  0.335  0.000

=====

Record 8
# VAsI2

VAsI2 after structural relaxation (PBE-GGA, the Alexandria database).

Values from the calculation:
- crystal system = tetragonal
- D(E_F) (states/eV per cell) = 9.2
- total magnetization (μB per cell) = 8.01
- relative energy among the computed polymorphs (meV/atom) = 0
- E_form (uncorrected) (eV/f.u.) = 0.05
- DFT total energy (eV/atom) = -4.206

Lattice parameters (Å, degrees): 10.264 10.264 4.821 90.00 90.00 90.00
Space group I-42d (No. 122)
Inequivalent atoms, fractional coordinates:
V  0.000  0.000  0.000
As  0.000  0.000  0.500
I  0.094  0.750  0.125